Compound: SrLaSbTe2
Source: Alexandria
Functional: PBE-GGA
Structure: optimized geometry

Cell lengths 6.096, 6.096, 5.988 Å; angles 90.00, 90.00, 90.00 degrees
Fractional coordinates of all 5 atoms:
Sr  0.000  0.000  0.000
La  0.500  0.500  0.500
Sb  0.500  0.500  0.000
Te  0.000  0.500  0.500
Te  0.500  0.000  0.500

formation energy from raw total energies	-0.655	eV/atom
calculated volume	44.5	Å³/atom
relative energy among the computed polymorphs	0.000	eV per atom